[1]
# LaGdCu2As4

An optimized crystal structure of LaGdCu2As4 (PBE-GGA, the Open Quantum Materials Database).

Its raw total energy is -5.3080 eV/atom. Its space group is P4mm.

Cell lengths 3.975, 3.975, 10.127 Å; angles 90.00, 90.00, 90.00 degrees
Atoms (fractional coordinates):
La (0.000, 0.000, 0.000)
Gd (0.500, 0.500, 0.477)
Cu (0.000, 0.500, 0.730)
Cu (0.500, 0.000, 0.730)
As (0.000, 0.000, 0.578)
As (0.000, 0.500, 0.246)
As (0.500, 0.000, 0.246)
As (0.500, 0.500, 0.881)

[2]
# TbGdCu2As2P2

An optimized crystal structure of TbGdCu2As2P2 (PBE-GGA, the Open Quantum Materials Database).

Its raw total energy is -5.4979 eV/atom. Its space group is P4mm.

Cell lengths 3.840, 3.840, 9.814 Å; angles 90.00, 90.00, 90.00 degrees
Atoms (fractional coordinates):
Tb (0.000, 0.000, 0.000)
Gd (0.500, 0.500, 0.513)
Cu (0.000, 0.500, 0.256)
Cu (0.500, 0.000, 0.256)
As (0.000, 0.500, 0.757)
As (0.500, 0.000, 0.757)
P (0.000, 0.000, 0.406)
P (0.500, 0.500, 0.105)

[3]
# PrGdCu2As4

An optimized crystal structure of PrGdCu2As4 (PBE-GGA, the Open Quantum Materials Database).

Its raw total energy is -5.2654 eV/atom. Its space group is P4mm.

Cell lengths 3.963, 3.963, 10.066 Å; angles 90.00, 90.00, 90.00 degrees
Atoms (fractional coordinates):
Pr (0.000, 0.000, 0.000)
Gd (0.500, 0.500, 0.476)
Cu (0.000, 0.500, 0.732)
Cu (0.500, 0.000, 0.732)
As (0.000, 0.000, 0.578)
As (0.000, 0.500, 0.243)
As (0.500, 0.000, 0.243)
As (0.500, 0.500, 0.885)

[4]
# GdCuSbAs

An optimized crystal structure of GdCuSbAs (PBE-GGA, the Open Quantum Materials Database).

Its raw total energy is -4.9645 eV/atom. Its space group is P4/nmm.

Cell lengths 4.129, 4.129, 9.999 Å; angles 90.00, 90.00, 90.00 degrees
Atoms (fractional coordinates):
Gd (0.250, 0.250, 0.226)
Gd (0.750, 0.750, 0.774)
Cu (0.250, 0.750, 0.500)
Cu (0.750, 0.250, 0.500)
Sb (0.250, 0.250, 0.665)
Sb (0.750, 0.750, 0.335)
As (0.250, 0.750, 0.000)
As (0.750, 0.250, 0.000)

[5]
# GdCuSbAs

An optimized crystal structure of GdCuSbAs (PBE-GGA, the Open Quantum Materials Database).

Its raw total energy is -5.0113 eV/atom. Its space group is P4/nmm.

Cell lengths 4.141, 4.141, 9.878 Å; angles 90.00, 90.00, 90.00 degrees
Atoms (fractional coordinates):
Gd (0.250, 0.250, 0.242)
Gd (0.750, 0.750, 0.758)
Cu (0.250, 0.750, 0.000)
Cu (0.750, 0.250, 0.000)
Sb (0.250, 0.750, 0.500)
Sb (0.750, 0.250, 0.500)
As (0.250, 0.250, 0.848)
As (0.750, 0.750, 0.152)

[6]
# GdScCu2As4

An optimized crystal structure of GdScCu2As4 (PBE-GGA, the Open Quantum Materials Database).

Its raw total energy is -5.3931 eV/atom. Its space group is P4mm.

Cell lengths 3.869, 3.869, 9.673 Å; angles 90.00, 90.00, 90.00 degrees
Atoms (fractional coordinates):
Gd (0.000, 0.000, 0.000)
Sc (0.500, 0.500, 0.531)
Cu (0.000, 0.500, 0.273)
Cu (0.500, 0.000, 0.273)
As (0.000, 0.000, 0.438)
As (0.000, 0.500, 0.756)
As (0.500, 0.000, 0.756)
As (0.500, 0.500, 0.108)

[7]
# Hf2Cu2SiGeAs2

An optimized crystal structure of Hf2Cu2SiGeAs2 (PBE-GGA, the Open Quantum Materials Database).

Its raw total energy is -6.3610 eV/atom. Its space group is P-4m2.

Cell lengths 3.686, 3.686, 9.626 Å; angles 90.00, 90.00, 90.00 degrees
Atoms (fractional coordinates):
Hf (0.000, 0.500, 0.223)
Hf (0.500, 0.000, 0.777)
Cu (0.000, 0.000, 0.500)
Cu (0.500, 0.500, 0.500)
Si (0.500, 0.500, 0.000)
Ge (0.000, 0.000, 0.000)
As (0.000, 0.500, 0.681)
As (0.500, 0.000, 0.319)

[8]
# Li4Cu2GeAs

An optimized crystal structure of Li4Cu2GeAs (PBE-GGA, the Open Quantum Materials Database).

Its raw total energy is -3.4468 eV/atom. Its space group is P-4m2.

Cell lengths 4.189, 4.189, 6.020 Å; angles 90.00, 90.00, 90.00 degrees
Atoms (fractional coordinates):
Li (0.000, 0.000, 0.000)
Li (0.000, 0.500, 0.749)
Li (0.500, 0.000, 0.251)
Li (0.500, 0.500, 0.500)
Cu (0.000, 0.500, 0.242)
Cu (0.500, 0.000, 0.758)
Ge (0.500, 0.500, 0.000)
As (0.000, 0.000, 0.500)

[9]
# CuGeAsOs

An optimized crystal structure of CuGeAsOs (PBE-GGA, the Open Quantum Materials Database).

Its raw total energy is -5.4488 eV/atom. Its space group is F-43m.

Cell lengths 6.247, 6.247, 6.247 Å; angles 90.00, 90.00, 90.00 degrees
Atoms (fractional coordinates):
Cu (0.000, 0.000, 0.000)
Cu (0.000, 0.500, 0.500)
Cu (0.500, 0.000, 0.500)
Cu (0.500, 0.500, 0.000)
Ge (0.000, 0.000, 0.500)
Ge (0.000, 0.500, 0.000)
Ge (0.500, 0.000, 0.000)
Ge (0.500, 0.500, 0.500)
As (0.250, 0.250, 0.750)
As (0.250, 0.750, 0.250)
As (0.750, 0.250, 0.250)
As (0.750, 0.750, 0.750)
Os (0.250, 0.250, 0.250)
Os (0.250, 0.750, 0.750)
Os (0.750, 0.250, 0.750)
Os (0.750, 0.750, 0.250)

[10]
# CuGeAsOs

An optimized crystal structure of CuGeAsOs (PBE-GGA, the Open Quantum Materials Database).

Its raw total energy is -5.7005 eV/atom. Its space group is F-43m.

Cell lengths 6.184, 6.184, 6.184 Å; angles 90.00, 90.00, 90.00 degrees
Atoms (fractional coordinates):
Cu (0.000, 0.000, 0.000)
Cu (0.000, 0.500, 0.500)
Cu (0.500, 0.000, 0.500)
Cu (0.500, 0.500, 0.000)
Ge (0.250, 0.250, 0.750)
Ge (0.250, 0.750, 0.250)
Ge (0.750, 0.250, 0.250)
Ge (0.750, 0.750, 0.750)
As (0.250, 0.250, 0.250)
As (0.250, 0.750, 0.750)
As (0.750, 0.250, 0.750)
As (0.750, 0.750, 0.250)
Os (0.000, 0.000, 0.500)
Os (0.000, 0.500, 0.000)
Os (0.500, 0.000, 0.000)
Os (0.500, 0.500, 0.500)

[11]
# Cu2Ge2As3P

An optimized crystal structure of Cu2Ge2As3P (PBE-GGA, the Open Quantum Materials Database).

Its raw total energy is -4.5127 eV/atom. Its space group is C2.

Cell lengths 12.187, 5.599, 5.560 Å; angles 90.00, 116.30, 90.00 degrees
Atoms (fractional coordinates):
Cu (0.119, 0.000, 0.357)
Cu (0.381, 0.500, 0.643)
Cu (0.619, 0.500, 0.357)
Cu (0.881, 0.000, 0.643)
Ge (0.123, 0.519, 0.880)
Ge (0.377, 0.019, 0.120)
Ge (0.623, 0.019, 0.880)
Ge (0.877, 0.519, 0.120)
As (0.000, 0.247, 0.500)
As (0.250, 0.265, 0.270)
As (0.250, 0.765, 0.730)
As (0.500, 0.747, 0.500)
As (0.750, 0.265, 0.730)
As (0.750, 0.765, 0.270)
P (0.000, 0.775, 0.000)
P (0.500, 0.275, 0.000)

[12]
# Cu2SiGeAs4

An optimized crystal structure of Cu2SiGeAs4 (PBE-GGA, the Open Quantum Materials Database).

Its raw total energy is -4.5148 eV/atom. Its space group is I-4.

Cell lengths 5.622, 5.622, 10.895 Å; angles 90.00, 90.00, 90.00 degrees
Atoms (fractional coordinates):
Cu (0.000, 0.000, 0.000)
Cu (0.000, 0.500, 0.250)
Cu (0.500, 0.000, 0.750)
Cu (0.500, 0.500, 0.500)
Si (0.000, 0.000, 0.500)
Si (0.500, 0.500, 0.000)
Ge (0.000, 0.500, 0.750)
Ge (0.500, 0.000, 0.250)
As (0.240, 0.257, 0.122)
As (0.243, 0.740, 0.378)
As (0.257, 0.760, 0.878)
As (0.260, 0.243, 0.622)
As (0.740, 0.757, 0.622)
As (0.743, 0.240, 0.878)
As (0.757, 0.260, 0.378)
As (0.760, 0.743, 0.122)

[13]
# Zr2Cu2SiGeAs2

An optimized crystal structure of Zr2Cu2SiGeAs2 (PBE-GGA, the Open Quantum Materials Database).

Its raw total energy is -6.0874 eV/atom. Its space group is P-4m2.

Cell lengths 3.709, 3.709, 9.671 Å; angles 90.00, 90.00, 90.00 degrees
Atoms (fractional coordinates):
Zr (0.000, 0.500, 0.225)
Zr (0.500, 0.000, 0.775)
Cu (0.000, 0.000, 0.500)
Cu (0.500, 0.500, 0.500)
Si (0.500, 0.500, 0.000)
Ge (0.000, 0.000, 0.000)
As (0.000, 0.500, 0.678)
As (0.500, 0.000, 0.322)